[1]
# PBE-GGA KCaSmF6, optimized geometry
data_KCaSmF6
_symmetry_space_group_name_H-M 'I m m a'
_symmetry_Int_Tables_number 74
_symmetry_space_group_name_Hall '-I 2b 2'
_cell_length_a 8.172
_cell_length_b 8.547
_cell_length_c 12.096
_cell_angle_alpha 90.00
_cell_angle_beta 90.00
_cell_angle_gamma 90.00
loop_
_atom_site_label
_atom_site_type_symbol
_atom_site_fract_x
_atom_site_fract_y
_atom_site_fract_z
K1 K 0.000 0.250 0.026
Ca1 Ca 0.250 0.250 0.750
Sm1 Sm 0.000 0.000 0.500
F1 F 0.000 0.250 0.434
F2 F 0.000 0.250 0.819
F3 F 0.204 0.069 0.614
# VASP energy: -208.31 eV/cell
# Volume: 211.2 Å³/f.u.
# DOS(E_F): 0.00 states/eV per cell
# Energy relative to the elements, uncorrected: -3.670 eV per atom

---

[2]
# PBE-GGA K2CaTbF6, optimized geometry
data_K2CaTbF6
_symmetry_space_group_name_H-M 'P -1'
_symmetry_Int_Tables_number 2
_cell_length_a 6.310
_cell_length_b 6.398
_cell_length_c 6.431
_cell_angle_alpha 61.79
_cell_angle_beta 60.89
_cell_angle_gamma 60.75
loop_
_symmetry_equiv_pos_as_xyz
'x,y,z'
'-x,-y,-z'
loop_
_atom_site_label
_atom_site_type_symbol
_atom_site_fract_x
_atom_site_fract_y
_atom_site_fract_z
K1 K 0.233 0.264 0.291
Ca1 Ca 0.500 0.500 0.500
Tb1 Tb 0.000 0.000 0.000
F1 F 0.206 0.288 0.733
F2 F 0.240 0.714 0.254
F3 F 0.270 0.792 0.719
# VASP energy: -53.02 eV/cell
# Volume: 188.3 Å³/f.u.
# DOS(E_F): 1.64 states/eV per cell
# Energy relative to the elements, uncorrected: -3.296 eV per atom

---

[3]
# PBE-GGA K2Ca3TbF12, optimized geometry
data_K2Ca3TbF12
_symmetry_space_group_name_H-M 'R -3 m'
_symmetry_Int_Tables_number 166
_symmetry_space_group_name_Hall '-R 3 2"'
_cell_length_a 8.0304
_cell_length_b 8.0304
_cell_length_c 20.9415
_cell_angle_alpha 90.00
_cell_angle_beta 90.00
_cell_angle_gamma 120.00
loop_
_atom_site_label
_atom_site_type_symbol
_atom_site_fract_x
_atom_site_fract_y
_atom_site_fract_z
K1 K 0.0000 0.0000 0.0866
Ca1 Ca 0.0000 0.5000 0.0000
Tb1 Tb 0.0000 0.0000 0.5000
F1 F 0.0395 0.5198 0.3611
F2 F 0.0805 0.5403 0.1040
# VASP energy: -289.45 eV/cell
# Volume: 389.8 Å³/f.u.
# DOS(E_F): 57.05 states/eV per cell
# Energy relative to the elements, uncorrected: -3.400 eV per atom

---

[4]
# PBE-GGA KCa2TiF8, optimized geometry
data_KCa2TiF8
_symmetry_space_group_name_H-M 'P -1'
_symmetry_Int_Tables_number 2
_cell_length_a 5.012
_cell_length_b 5.345
_cell_length_c 7.241
_cell_angle_alpha 89.77
_cell_angle_beta 89.65
_cell_angle_gamma 89.46
loop_
_symmetry_equiv_pos_as_xyz
'x,y,z'
'-x,-y,-z'
loop_
_atom_site_label
_atom_site_type_symbol
_atom_site_fract_x
_atom_site_fract_y
_atom_site_fract_z
K1 K 0.000 0.000 0.000
Ca1 Ca 0.500 0.500 0.254
Ti1 Ti 0.000 0.000 0.500
F1 F 0.203 0.816 0.691
F2 F 0.206 0.819 0.308
F3 F 0.274 0.290 0.501
F4 F 0.305 0.349 0.001
# VASP energy: -70.07 eV/cell
# Volume: 194.0 Å³/f.u.
# DOS(E_F): 4.91 states/eV per cell
# Energy relative to the elements, uncorrected: -3.509 eV per atom

---

[5]
# PBE-GGA K2CaTlF6, optimized geometry
data_K2CaTlF6
_symmetry_space_group_name_H-M 'F m -3 m'
_symmetry_Int_Tables_number 225
_symmetry_space_group_name_Hall '-F 4 2 3'
_cell_length_a 9.217
_cell_length_b 9.217
_cell_length_c 9.217
_cell_angle_alpha 90.00
_cell_angle_beta 90.00
_cell_angle_gamma 90.00
loop_
_atom_site_label
_atom_site_type_symbol
_atom_site_fract_x
_atom_site_fract_y
_atom_site_fract_z
K1 K 0.250 0.250 0.250
Ca1 Ca 0.000 0.000 0.000
Tl1 Tl 0.000 0.000 0.500
F1 F 0.000 0.000 0.242
# VASP energy: -181.05 eV/cell
# Volume: 195.8 Å³/f.u.
# DOS(E_F): 13.26 states/eV per cell
# Energy relative to the elements, uncorrected: -2.747 eV per atom

---

[6]
# PBE-GGA KCa2TlF8, optimized geometry
data_KCa2TlF8
_symmetry_space_group_name_H-M 'P m m m'
_symmetry_Int_Tables_number 47
_cell_length_a 4.076
_cell_length_b 5.658
_cell_length_c 7.804
_cell_angle_alpha 90.00
_cell_angle_beta 90.00
_cell_angle_gamma 90.00
loop_
_symmetry_equiv_pos_as_xyz
'x,y,z'
'-x,-y,-z'
'-x,-y,z'
'x,y,-z'
'x,-y,-z'
'-x,y,z'
'-x,y,-z'
'x,-y,z'
loop_
_atom_site_label
_atom_site_type_symbol
_atom_site_fract_x
_atom_site_fract_y
_atom_site_fract_z
K1 K 0.000 0.000 0.000
Ca1 Ca 0.500 0.500 0.242
Tl1 Tl 0.000 0.000 0.500
F1 F 0.000 0.261 0.283
F2 F 0.500 0.236 0.500
F3 F 0.500 0.276 0.000
# VASP energy: -58.81 eV/cell
# Volume: 180.0 Å³/f.u.
# DOS(E_F): 0.00 states/eV per cell
# Energy relative to the elements, uncorrected: -3.031 eV per atom

---

Please write out number 2 again, unchanged.
# PBE-GGA K2CaTbF6, optimized geometry
data_K2CaTbF6
_symmetry_space_group_name_H-M 'P -1'
_symmetry_Int_Tables_number 2
_cell_length_a 6.310
_cell_length_b 6.398
_cell_length_c 6.431
_cell_angle_alpha 61.79
_cell_angle_beta 60.89
_cell_angle_gamma 60.75
loop_
_symmetry_equiv_pos_as_xyz
'x,y,z'
'-x,-y,-z'
loop_
_atom_site_label
_atom_site_type_symbol
_atom_site_fract_x
_atom_site_fract_y
_atom_site_fract_z
K1 K 0.233 0.264 0.291
Ca1 Ca 0.500 0.500 0.500
Tb1 Tb 0.000 0.000 0.000
F1 F 0.206 0.288 0.733
F2 F 0.240 0.714 0.254
F3 F 0.270 0.792 0.719
# VASP energy: -53.02 eV/cell
# Volume: 188.3 Å³/f.u.
# DOS(E_F): 1.64 states/eV per cell
# Energy relative to the elements, uncorrected: -3.296 eV per atom